Compound: CoP3H16N4O11
Source: Alexandria via LeMat-Bulk
Functional: PBEsol
Structure: optimized geometry

Calculated values
Magnetic moment ... 0.2 μB per formula unit
SG ... P2_1/c
E ... -6.0166 eV/atom

Lattice parameters (Å, degrees): 7.160 12.077 13.951 90.00 90.00 94.30
Site moments in Bohr magnetons follow the coordinates.
Sites, in units of the cell vectors:
Co (0.756, 0.281, 0.104)  0.17
Co (0.256, 0.781, 0.396)  0.18
Co (0.244, 0.719, 0.896)  0.17
Co (0.744, 0.219, 0.604)  0.18
P (0.892, 0.539, 0.171)  0.00
P (0.392, 0.039, 0.329)  0.00
P (0.108, 0.461, 0.829)  0.00
P (0.608, 0.961, 0.671)  0.00
P (0.663, 0.475, 0.342)  0.00
P (0.163, 0.975, 0.158)  0.00
P (0.337, 0.525, 0.658)  0.00
P (0.837, 0.025, 0.842)  0.00
P (0.396, 0.370, 0.207)  0.00
P (0.896, 0.870, 0.293)  0.00
P (0.604, 0.630, 0.793)  0.00
P (0.104, 0.130, 0.707)  0.00
H (0.611, 0.098, 0.144)  0.00
H (0.111, 0.598, 0.356)  0.00
H (0.389, 0.902, 0.856)  0.00
H (0.889, 0.402, 0.644)  0.00
H (0.606, 0.113, 0.026)  0.00
H (0.106, 0.613, 0.474)  0.00
H (0.394, 0.887, 0.974)  0.00
H (0.894, 0.387, 0.526)  0.00
H (0.805, 0.082, 0.080)  0.00
H (0.305, 0.582, 0.420)  0.00
H (0.195, 0.918, 0.920)  0.00
H (0.695, 0.418, 0.580)  0.00
H (0.877, 0.163, 0.236)  0.00
H (0.377, 0.663, 0.264)  0.00
H (0.123, 0.837, 0.764)  0.00
H (0.623, 0.337, 0.736)  0.00
H (0.013, 0.280, 0.232)  0.00
H (0.513, 0.780, 0.268)  0.00
H (0.987, 0.720, 0.768)  0.00
H (0.487, 0.220, 0.732)  0.00
H (0.796, 0.279, 0.278)  0.00
H (0.296, 0.779, 0.222)  0.00
H (0.204, 0.721, 0.722)  0.00
H (0.704, 0.221, 0.778)  0.00
H (0.061, 0.337, 0.029)  0.00
H (0.561, 0.837, 0.471)  0.00
H (0.939, 0.663, 0.971)  0.00
H (0.439, 0.163, 0.529)  0.00
H (0.055, 0.204, 0.064)  0.00
H (0.555, 0.704, 0.436)  0.00
H (0.945, 0.796, 0.936)  0.00
H (0.445, 0.296, 0.564)  0.00
H (0.944, 0.235, 0.965)  0.00
H (0.444, 0.735, 0.535)  0.00
H (0.056, 0.765, 0.035)  0.00
H (0.556, 0.265, 0.465)  0.00
H (0.713, 0.340, 0.933)  0.00
H (0.213, 0.840, 0.567)  0.00
H (0.287, 0.660, 0.067)  0.00
H (0.787, 0.160, 0.433)  0.00
H (0.527, 0.255, 0.968)  0.00
H (0.027, 0.755, 0.532)  0.00
H (0.473, 0.745, 0.032)  0.00
H (0.973, 0.245, 0.468)  0.00
H (0.551, 0.387, 0.005)  0.00
H (0.051, 0.887, 0.495)  0.00
H (0.449, 0.613, 0.995)  0.00
H (0.949, 0.113, 0.505)  0.00
H (0.722, 0.898, 0.000)  0.00
H (0.222, 0.398, 0.500)  0.00
H (0.278, 0.102, 0.000)  0.00
H (0.778, 0.602, 0.500)  0.00
H (0.675, 0.867, 0.111)  0.00
H (0.175, 0.367, 0.389)  0.00
H (0.325, 0.133, 0.889)  0.00
H (0.825, 0.633, 0.611)  0.00
H (0.783, 0.712, 0.178)  0.00
H (0.283, 0.212, 0.322)  0.00
H (0.217, 0.288, 0.822)  0.00
H (0.717, 0.788, 0.678)  0.00
H (0.208, 0.490, 0.141)  0.00
H (0.708, 0.990, 0.359)  0.00
H (0.792, 0.510, 0.859)  0.00
H (0.292, 0.010, 0.641)  0.00
N (0.689, 0.127, 0.086)  0.00
N (0.189, 0.627, 0.414)  0.00
N (0.311, 0.873, 0.914)  0.00
N (0.811, 0.373, 0.586)  0.00
N (0.876, 0.247, 0.224)  0.00
N (0.376, 0.747, 0.277)  0.00
N (0.124, 0.753, 0.776)  0.00
N (0.624, 0.253, 0.723)  0.00
N (0.978, 0.264, 0.033)  0.00
N (0.478, 0.764, 0.467)  0.00
N (0.022, 0.736, 0.967)  0.00
N (0.522, 0.236, 0.533)  0.00
N (0.623, 0.319, 0.989)  0.00
N (0.123, 0.819, 0.511)  0.00
N (0.377, 0.681, 0.011)  0.00
N (0.877, 0.181, 0.489)  0.00
O (0.823, 0.439, 0.114)  0.01
O (0.323, 0.939, 0.386)  0.01
O (0.177, 0.561, 0.886)  0.01
O (0.677, 0.061, 0.614)  0.01
O (0.777, 0.637, 0.139)  0.00
O (0.277, 0.137, 0.361)  0.00
O (0.223, 0.363, 0.861)  0.00
O (0.723, 0.863, 0.639)  0.00
O (0.102, 0.569, 0.166)  0.00
O (0.602, 0.069, 0.334)  0.00
O (0.898, 0.431, 0.834)  0.00
O (0.398, 0.931, 0.666)  0.00
O (0.852, 0.519, 0.284)  0.00
O (0.352, 0.019, 0.216)  0.00
O (0.148, 0.481, 0.716)  0.00
O (0.648, 0.981, 0.784)  0.00
O (0.622, 0.564, 0.412)  0.00
O (0.122, 0.064, 0.088)  0.00
O (0.378, 0.436, 0.588)  0.00
O (0.878, 0.936, 0.912)  0.00
O (0.684, 0.359, 0.375)  0.00
O (0.184, 0.859, 0.125)  0.00
O (0.316, 0.641, 0.625)  0.00
O (0.816, 0.141, 0.875)  0.00
O (0.505, 0.477, 0.259)  0.00
O (0.005, 0.977, 0.241)  0.00
O (0.495, 0.523, 0.741)  0.00
O (0.995, 0.023, 0.759)  0.00
O (0.303, 0.424, 0.121)  0.00
O (0.803, 0.924, 0.379)  0.00
O (0.697, 0.576, 0.879)  0.00
O (0.197, 0.076, 0.621)  0.00
O (0.253, 0.320, 0.279)  0.00
O (0.753, 0.820, 0.221)  0.00
O (0.747, 0.680, 0.721)  0.00
O (0.247, 0.180, 0.779)  0.00
O (0.529, 0.285, 0.175)  0.01
O (0.029, 0.785, 0.325)  0.01
O (0.471, 0.715, 0.825)  0.01
O (0.971, 0.215, 0.675)  0.01
O (0.619, 0.877, 0.047)  0.00
O (0.119, 0.377, 0.454)  0.00
O (0.381, 0.123, 0.953)  0.00
O (0.881, 0.623, 0.546)  0.00